Record 1
## BaMgAu (SCAN)

Data for a crystal of BaMgAu relaxed with PBEsol.

Computed properties:
Total moment = 0.0 μB per formula unit
Density = 6591 kg/m³
E_form = -636 meV/atom
DOS at the Fermi energy = 0.71 states/eV per atom

Cell lengths 4.6394, 4.7420, 4.7420 Å; angles 120.00, 90.00, 90.00 degrees
Fractional coordinates of all 3 atoms:
Mg 0.5000 0.6667 0.3333
Au 0.5000 0.0000 0.0000
Ba 0.0000 0.3333 0.6667

---

Record 2
## BaMnAu2 (SCAN)

Data for a crystal of BaMnAu2 relaxed with PBEsol.

Computed properties:
Total moment = 4.4 μB per formula unit
Density = 11078 kg/m³
E_form = -508 meV/atom
DOS at the Fermi energy = 0.65 states/eV per atom

Cell lengths 3.4451, 3.4425, 7.4090 Å; angles 90.00, 90.00, 90.00 degrees
Site moments in Bohr magnetons follow the coordinates.
Fractional coordinates of all 4 atoms:
Au 0.0000 0.0000 0.1860  0.05
Au 0.0000 0.0000 0.8140  0.05
Ba 0.5000 0.5000 0.5000  -0.03
Mn 0.5000 0.5000 0.0000  4.25

---

What did the second record say?
## BaMnAu2 (SCAN)

Data for a crystal of BaMnAu2 relaxed with PBEsol.

Computed properties:
Total moment = 4.4 μB per formula unit
Density = 11078 kg/m³
E_form = -508 meV/atom
DOS at the Fermi energy = 0.65 states/eV per atom

Cell lengths 3.4451, 3.4425, 7.4090 Å; angles 90.00, 90.00, 90.00 degrees
Site moments in Bohr magnetons follow the coordinates.
Fractional coordinates of all 4 atoms:
Au 0.0000 0.0000 0.1860  0.05
Au 0.0000 0.0000 0.8140  0.05
Ba 0.5000 0.5000 0.5000  -0.03
Mn 0.5000 0.5000 0.0000  4.25

---

Please write out number 2 again, unchanged.
## BaMnAu2 (SCAN)

Data for a crystal of BaMnAu2 relaxed with PBEsol.

Computed properties:
Total moment = 4.4 μB per formula unit
Density = 11078 kg/m³
E_form = -508 meV/atom
DOS at the Fermi energy = 0.65 states/eV per atom

Cell lengths 3.4451, 3.4425, 7.4090 Å; angles 90.00, 90.00, 90.00 degrees
Site moments in Bohr magnetons follow the coordinates.
Fractional coordinates of all 4 atoms:
Au 0.0000 0.0000 0.1860  0.05
Au 0.0000 0.0000 0.8140  0.05
Ba 0.5000 0.5000 0.5000  -0.03
Mn 0.5000 0.5000 0.0000  4.25